[1]
Computed, not measured: a geometry-optimized K2MoBr structure at the PBE level of DFT.

Output
ΔE_f (raw) in meV/atom: 526.4
VASP energy in eV/atom: -3.1483
Polymorph energy (0 for the lowest one) in meV per atom: 187
Magnetization in μB/f.u.: 5.00

abc: 6.338 6.338 6.338
angles: 130.42 115.08 85.86
Fractional positions:
Br  0.250  0.750  0.500
K  0.469  0.469  0.000
Mo  0.750  0.250  0.500
K  0.031  0.031  0.000



[2]
Computed, not measured: a geometry-optimized NaPmPrTl structure at the PBE level of DFT.

Output
VASP energy in eV/atom: -3.4034
Energy relative to the elements in meV/atom: -100
Magnetization in μB/f.u.: 0.00

abc: 5.562 5.562 5.562
angles: 60.00 60.00 60.00
Fractional positions:
Pr  0.250  0.250  0.250
Pm  0.750  0.750  0.750
Tl  0.500  0.500  0.500
Na  0.000  0.000  0.000



[3]
Computed, not measured: a geometry-optimized CsLuBi2 structure at the PBE level of DFT.

Output
VASP energy in eV/atom: -3.6182
Energy relative to the elements in meV/atom: -334
Polymorph energy (0 for the lowest one) in meV per atom: 110
Magnetization in μB/f.u.: 0.00

abc: 4.830 4.830 8.952
angles: 74.35 74.35 60.00
Fractional positions:
Lu  0.000  0.000  0.000
Bi  0.278  0.278  0.165
Bi  0.722  0.722  0.835
Cs  0.500  0.500  0.500